A geometry-optimized Zn2ReW structure, computed with PBE.

Crystal system   trigonal
E above lowest polymorph   164 meV/atom
ΔE_f   0.340 eV/atom
D(E_F)   4.902 states/eV/cell
Total energy   -26.6 eV for the cell shown

Structure (POSCAR):
```
Zn2ReW
1.0
-8.5836 -0.4295 3.1574
-7.3204 -1.8614 5.1748
-7.4163 0.9122 5.2913
Zn Re W
2 1 1
direct
0.9988 0.9988 0.9988 Zn
0.5012 0.5012 0.5012 Zn
0.2500 0.2500 0.2500 Re
0.7500 0.7500 0.7500 W
```